U8MnSe17: relaxed, PBE.

Computed properties:
Crystal system: monoclinic
Energy: -7.19 eV per atom
Fermi-level density of states: 56.63 states/eV/f.u.
ρ: 8.4 Mg/m³

Structure (POSCAR):
```
U8MnSe17
1.0
4.402 6.942 -0.013
-4.402 6.942 -0.013
0.000 2.196 10.701
U Se Mn
8 17 1
direct
0.321 0.321 0.017 U
0.202 0.202 0.542 U
0.798 0.798 0.458 U
0.679 0.679 0.983 U
0.821 0.302 0.301 U
0.179 0.698 0.699 U
0.302 0.821 0.301 U
0.698 0.179 0.699 U
0.000 0.000 0.500 Se
0.820 0.434 0.537 Se
0.699 0.699 0.247 Se
0.057 0.057 0.771 Se
0.214 0.214 0.279 Se
0.480 0.480 0.170 Se
0.786 0.786 0.721 Se
0.180 0.566 0.463 Se
0.520 0.520 0.830 Se
0.676 0.053 0.967 Se
0.053 0.676 0.967 Se
0.301 0.301 0.753 Se
0.434 0.820 0.537 Se
0.324 0.947 0.033 Se
0.947 0.324 0.033 Se
0.943 0.943 0.229 Se
0.566 0.180 0.463 Se
0.000 0.000 0.000 Mn
```

=====

Pu2B2Rh5: relaxed, PBE.

Computed properties:
Crystal system: orthorhombic
Energy relative to the elements: -0.454 eV per atom
Energy: -9.21 eV per atom
Fermi-level density of states: 29.17 states/eV/f.u.
ρ: 11.8 Mg/m³

Structure (POSCAR):
```
Pu2B2Rh5
1.0
5.618 0.000 -1.841
-0.599 5.536 -1.829
-0.068 -0.043 9.285
Rh B Pu
10 4 4
direct
0.749 0.258 0.997 Rh
0.251 0.261 0.003 Rh
0.251 0.761 0.003 Rh
0.000 0.510 0.500 Rh
0.345 0.381 0.743 Rh
0.102 0.138 0.257 Rh
0.898 0.881 0.743 Rh
0.000 0.010 0.500 Rh
0.749 0.758 0.997 Rh
0.655 0.638 0.257 Rh
0.000 0.010 0.000 B
0.279 0.259 0.500 B
0.721 0.759 0.500 B
0.500 0.510 0.000 B
0.170 0.645 0.271 Pu
0.830 0.374 0.729 Pu
0.601 0.145 0.271 Pu
0.399 0.874 0.729 Pu
```

=====

SrSeCl: relaxed, PBE.

Computed properties:
Crystal system: cubic
Energy: -3.52 eV per atom
Fermi-level density of states: 4.18 states/eV/f.u.
ρ: 3.7 Mg/m³
ΔE to the lowest computed polymorph: 735 meV per atom

Structure (POSCAR):
```
SrSeCl
1.0
5.048 0.000 0.000
2.524 4.371 0.000
2.524 1.457 4.121
Sr Cl Se
1 1 1
direct
0.500 0.500 0.500 Sr
0.250 0.250 0.250 Cl
0.000 0.000 0.000 Se
```

=====

Q: The highest Fermi-level density of states belongs to which entry?
A: U8MnSe17

=====

Q: Which value of Fermi-level density of states does entry 2 give?
A: 29.17 states/eV/f.u.